Record 1
HfTc2Ge | PBE | relaxed Values from VASP.

Cell and atoms, written as Quantum ESPRESSO input:
```
&SYSTEM
  ibrav = 0, nat = 8, ntyp = 3
/
ATOMIC_SPECIES
Hf 178.49 Hf.upf
Tc 98.00 Tc.upf
Ge 72.64 Ge.upf
CELL_PARAMETERS angstrom
1.568 -9.584 0.000
1.568 9.584 0.000
0.000 0.000 4.416
ATOMIC_POSITIONS angstrom
Hf 1.568 7.567 3.312
Hf 1.568 -7.567 1.104
Tc 1.568 4.431 1.104
Tc 1.568 0.501 3.312
Tc 1.568 -0.501 1.104
Tc 1.568 -4.431 3.312
Ge 1.568 3.073 3.312
Ge 1.568 -3.073 1.104
```

ΔH_f (0 K)   -0.2292 eV per atom



Record 2
HfTc2Ge | PBE | relaxed Values from VASP.

Cell and atoms, written as Quantum ESPRESSO input:
```
&SYSTEM
  ibrav = 0, nat = 4, ntyp = 3
/
ATOMIC_SPECIES
Hf 178.49 Hf.upf
Tc 98.00 Tc.upf
Ge 72.64 Ge.upf
CELL_PARAMETERS angstrom
4.374 0.000 0.000
0.000 4.374 0.000
0.000 0.000 3.296
ATOMIC_POSITIONS angstrom
Hf 0.000 0.000 0.000
Tc 0.000 2.187 1.648
Tc 2.187 0.000 1.648
Ge 2.187 2.187 0.000
```

ΔH_f (0 K)   -0.3175 eV per atom



> Number 1 is which compound?

HfTc2Ge



> Which formula does entry 1 have?

HfTc2Ge